# Zr4TlHg | Alexandria via LeMat-Bulk | PBE | relaxed
data_Zr4TlHg
_symmetry_space_group_name_H-M 'P 4/m m m'
_symmetry_Int_Tables_number 123
_symmetry_space_group_name_Hall '-P 4 2'
_cell_length_a 4.783
_cell_length_b 4.783
_cell_length_c 6.829
_cell_angle_alpha 90.00
_cell_angle_beta 90.00
_cell_angle_gamma 90.00
loop_
_atom_site_label
_atom_site_type_symbol
_atom_site_fract_x
_atom_site_fract_y
_atom_site_fract_z
_atom_site_occupancy
Zr1 Zr 0.000 0.500 0.245 1
Tl1 Tl 0.000 0.000 0.500 1
Hg1 Hg 0.500 0.500 0.000 1
# Energy above the lowest structure with this stoichiometry ... 261 kJ/mol of formula units
# Raw total energy ... -5.792 eV/atom
# Energy of formation from the pure elements ... 0.351 eV/atom